VASP calculation (PBE-GGA) on an optimized crystal structure of Cr2TcPt9.

## Properties
ΔE_f (kJ per mole of atoms): -18.7
Spin magnetization (μB/atom): 0.64
Volume (Å³ per atom): 15.20
Final energy (eV/cell): -86.3

a = 3.9301 Å, b = 3.9301 Å, c = 11.8117 Å
α = 90.00°, β = 90.00°, γ = 90.00°
Last column: nearest neighbours and their distance in Å.
Atoms (fractional coordinates):
Cr: 0.0000 0.0000 0.3367  12 Pt 2.75-2.81
Cr: 0.0000 0.0000 0.6633  12 Pt 2.75-2.81
Tc: 0.0000 0.0000 0.0000  12 Pt 2.78
Pt: 0.5000 0.5000 0.0000  4 Tc 2.78, 8 Pt 2.78
Pt: 0.5000 0.5000 0.3338  8 Pt 2.78-2.79, 4 Cr 2.78
Pt: 0.5000 0.5000 0.6662  8 Pt 2.78-2.79, 4 Cr 2.78
Pt: 0.5000 0.0000 0.1664  8 Pt 2.78-2.79, 2 Tc 2.78, 2 Cr 2.81
Pt: 0.5000 0.0000 0.5000  4 Cr 2.75, 8 Pt 2.78
Pt: 0.5000 0.0000 0.8336  8 Pt 2.78-2.79, 2 Tc 2.78, 2 Cr 2.81
Pt: 0.0000 0.5000 0.1664  8 Pt 2.78-2.79, 2 Tc 2.78, 2 Cr 2.81
Pt: 0.0000 0.5000 0.5000  4 Cr 2.75, 8 Pt 2.78
Pt: 0.0000 0.5000 0.8336  8 Pt 2.78-2.79, 2 Tc 2.78, 2 Cr 2.81



VASP calculation (PBE-GGA) on an optimized crystal structure of AcCe2NdBi4.

## Properties
ΔE_f (kJ per mole of atoms): -84.3
Spin magnetization (μB/atom): 0.21
Volume (Å³ per atom): 36.18
Final energy (eV/cell): -43.3

a = 4.6758 Å, b = 8.0988 Å, c = 8.1050 Å
α = 70.56°, β = 90.00°, γ = 90.00°
Last column: nearest neighbours and their distance in Å.
Atoms (fractional coordinates):
Ac: 0.5000 0.5000 0.0000  6 Bi 3.38-3.39
Ce: 0.0000 0.0000 0.0000  6 Bi 3.30
Ce: 0.5000 0.0000 0.5000  6 Bi 3.23
Nd: 0.0000 0.5000 0.5000  6 Bi 3.32
Bi: 0.0000 0.7625 0.7387  3 Ce 3.23-3.30, 1 Nd 3.32, 2 Ac 3.39
Bi: 0.0000 0.2375 0.2613  3 Ce 3.23-3.30, 1 Nd 3.32, 2 Ac 3.39
Bi: 0.5000 0.7570 0.2546  3 Ce 3.23-3.30, 2 Nd 3.32, 1 Ac 3.38
Bi: 0.5000 0.2430 0.7454  3 Ce 3.23-3.30, 2 Nd 3.32, 1 Ac 3.38



VASP calculation (PBE-GGA) on an optimized crystal structure of LiMgMnAs2.

## Properties
ΔE_f (kJ per mole of atoms): 81.3
Spin magnetization (μB/atom): 0.01
Volume (Å³ per atom): 17.58
Final energy (eV/cell): -17.8

a = 4.5008 Å, b = 4.3389 Å, c = 4.5008 Å
α = 90.00°, β = 90.00°, γ = 90.00°
Last column: nearest neighbours and their distance in Å.
Atoms (fractional coordinates):
As: 0.0000 0.0000 0.5000  2 Li 2.25
As: 0.5000 0.0000 0.0000  2 Li 2.25
Mn: 0.5000 0.5000 0.5000  8 As 3.13, 4 Mg 3.18
Mg: 0.0000 0.5000 0.0000  2 Li 2.17
Li: 0.0000 0.0000 0.0000  2 Mg 2.17, 4 As 2.25



VASP calculation (PBE-GGA) on an optimized crystal structure of Cs2RbZnGe2.

## Properties
ΔE_f (kJ per mole of atoms): 2.4
ΔE to the lowest computed polymorph (eV/f.u.): 0.316
Spin magnetization (μB/atom): 0.00
Volume (Å³ per atom): 39.29
Final energy (eV/cell): -13.0

a = 4.1806 Å, b = 7.7682 Å, c = 8.5293 Å
α = 116.75°, β = 90.17°, γ = 105.61°
Last column: nearest neighbours and their distance in Å.
Atoms (fractional coordinates):
Cs: 0.6043 0.7006 0.1530  1 Zn 3.55, 2 Ge 3.73-3.75, 1 Rb 3.77
Cs: 0.6228 0.7214 0.6874  2 Zn 3.62-3.63, 3 Ge 4.02-4.05, 1 Cs 4.05
Ge: 0.8986 0.2762 0.7127  2 Ge 2.63, 2 Zn 2.83-2.84
Ge: 0.2973 0.0758 0.5250  2 Ge 2.63, 1 Zn 2.74
Zn: 0.3470 0.1691 0.8769  3 Ge 2.74-2.84
Rb: 0.8866 0.2492 0.2570  2 Zn 3.66-3.67, 3 Ge 3.74-3.80, 1 Cs 3.77



VASP calculation (PBE-GGA) on an optimized crystal structure of TlZnRe2.

## Properties
ΔE_f (kJ per mole of atoms): 78.5
ΔE to the lowest computed polymorph (eV/f.u.): 1.752
Spin magnetization (μB/atom): 0.00
Volume (Å³ per atom): 16.74
Final energy (eV/cell): -25.3

a = 2.9530 Å, b = 4.7717 Å, c = 4.7515 Å
α = 90.00°, β = 90.00°, γ = 90.00°
Last column: nearest neighbours and their distance in Å.
Atoms (fractional coordinates):
Re: 0.0000 0.0000 0.0000  4 Tl 2.80, 6 Re 2.81-2.95
Re: 0.5000 0.5000 0.0000  4 Zn 2.80, 6 Re 2.81-2.95
Tl: 0.5000 0.0000 0.5000  4 Re 2.80, 4 Zn 2.81, 2 Tl 2.95
Zn: 0.0000 0.5000 0.5000  4 Re 2.80, 4 Tl 2.81, 2 Zn 2.95



VASP calculation (PBE-GGA) on an optimized crystal structure of LiAgHg.

## Properties
ΔE_f (kJ per mole of atoms): -19.9
ΔE to the lowest computed polymorph (eV/f.u.): 0.012
Spin magnetization (μB/atom): 0.00
Volume (Å³ per atom): 18.36
Final energy (eV/cell): -5.7

a = 5.1750 Å, b = 5.1750 Å, c = 5.1750 Å
α = 144.89°, β = 135.85°, γ = 57.62°
Last column: nearest neighbours and their distance in Å.
Atoms (fractional coordinates):
Hg: 0.3278 0.3278 0.0000  5 Ag 2.90-2.98, 5 Li 2.90-3.05, 2 Hg 3.12
Ag: 0.0080 0.0080 0.0000  5 Li 2.87-3.12, 5 Hg 2.90-2.98, 2 Ag 3.12
Li: 0.6642 0.6642 0.0000  5 Ag 2.87-3.12, 5 Hg 2.90-3.05, 2 Li 3.12



VASP calculation (PBE-GGA) on an optimized crystal structure of Pr4RhPb.

## Properties
ΔE_f (kJ per mole of atoms): -43.3
ΔE to the lowest computed polymorph (eV/f.u.): 0.000
Spin magnetization (μB/atom): 0.00
Volume (Å³ per atom): 31.79
Final energy (eV/cell): -65.7

a = 6.3493 Å, b = 7.1064 Å, c = 10.2268 Å
α = 90.00°, β = 124.24°, γ = 90.00°
Last column: nearest neighbours and their distance in Å.
Atoms (fractional coordinates):
Pr: 0.5297 0.2500 0.4232  1 Rh 2.86
Pr: 0.4703 0.7500 0.5768  1 Rh 2.86
Pr: 0.7142 0.2500 0.8710  1 Rh 2.91
Pr: 0.2858 0.7500 0.1290  1 Rh 2.91
Pr: 0.8928 0.0056 0.2822  2 Rh 2.86-2.97
Pr: 0.1072 0.5056 0.7178  2 Rh 2.86-2.97
Pr: 0.8928 0.4944 0.2822  2 Rh 2.86-2.97
Pr: 0.1072 0.9944 0.7178  2 Rh 2.86-2.97
Rh: 0.2383 0.2500 0.5580  6 Pr 2.86-2.97
Rh: 0.7617 0.7500 0.4420  6 Pr 2.86-2.97
Pb: 0.3418 0.2500 0.0519  6 Pr 3.28-3.40
Pb: 0.6582 0.7500 0.9481  6 Pr 3.28-3.40



VASP calculation (PBE-GGA) on an optimized crystal structure of Rb2CaPO4.

## Properties
Spin magnetization (μB/atom): 0.00
Energy relative to the elements, uncorrected (eV per atom): -2.09
Volume (Å³ per atom): 21.07
Final energy (eV/cell): -45.9

a = 6.0783 Å, b = 6.0783 Å, c = 6.0783 Å
α = 98.83°, β = 115.04°, γ = 115.04°
Last column: nearest neighbours and their distance in Å.
Atoms (fractional coordinates):
Rb: 0.5000 0.7500 0.2500  12 O 3.52-3.77, 4 Rb 3.82, 4 P 3.82
Rb: 0.0000 0.0000 0.0000  4 O 3.29
Ca: 0.5000 0.2500 0.7500  4 O 2.27
P: 0.0000 0.5000 0.5000  4 O 1.57
O: 0.7869 0.4226 0.5965  1 P 1.57
O: 0.1738 0.3643 0.5774  1 P 1.57
O: 0.8262 0.4035 0.1904  1 P 1.57
O: 0.2131 0.8096 0.6358  1 P 1.57



VASP calculation (PBE-GGA) on an optimized crystal structure of Li2PrAlAu4.

## Properties
ΔE_f (kJ per mole of atoms): -59.3
Spin magnetization (μB/atom): 0.00
Volume (Å³ per atom): 19.02
Final energy (eV/cell): -30.4

a = 4.4676 Å, b = 4.4676 Å, c = 9.1725 Å
α = 75.90°, β = 75.90°, γ = 60.00°
Last column: nearest neighbours and their distance in Å.
Atoms (fractional coordinates):
Li: 0.7630 0.7630 0.7111  7 Au 2.69-2.78
Li: 0.2370 0.2370 0.2889  7 Au 2.69-2.78
Pr: 0.0000 0.0000 0.0000  8 Au 3.13-3.48
Al: 0.5000 0.5000 0.5000  8 Au 2.63-2.74
Au: 0.4003 0.4003 0.7992  1 Al 2.63, 3 Li 2.69
Au: 0.8682 0.8682 0.3955  3 Al 2.74, 4 Li 2.74-2.78
Au: 0.1318 0.1318 0.6045  3 Al 2.74, 4 Li 2.74-2.78
Au: 0.5997 0.5997 0.2008  1 Al 2.63, 3 Li 2.69



VASP calculation (PBE-GGA) on an optimized crystal structure of YCo2As.

## Properties
ΔE_f (kJ per mole of atoms): -10.5
Spin magnetization (μB/atom): 0.54
Volume (Å³ per atom): 16.26
Final energy (eV/cell): -25.8

a = 3.2213 Å, b = 3.1603 Å, c = 6.3907 Å
α = 90.00°, β = 90.00°, γ = 90.00°
Last column: nearest neighbours and their distance in Å.
Atoms (fractional coordinates):
As: 0.5000 0.5000 0.8255  5 Co 2.37-2.51
Co: 0.0000 0.0000 0.9969  4 As 2.51, 4 Co 2.59
Co: 0.5000 0.5000 0.1962  1 As 2.37, 4 Co 2.59
Y: 0.0000 0.0000 0.4813  5 Co 2.90-3.10, 4 As 3.15, 4 Y 3.16-3.22



VASP calculation (PBE-GGA) on an optimized crystal structure of CaTcHg2Ru.

## Properties
ΔE_f (kJ per mole of atoms): 132.5
ΔE to the lowest computed polymorph (eV/f.u.): 0.000
Spin magnetization (μB/atom): 0.78
Volume (Å³ per atom): 27.89
Final energy (eV/cell): -15.4

a = 5.2044 Å, b = 5.1484 Å, c = 5.2044 Å
α = 90.00°, β = 90.00°, γ = 90.00°
Last column: nearest neighbours and their distance in Å.
Atoms (fractional coordinates):
Ru: 0.5000 0.5000 0.5000  8 Hg 3.66, 4 Ca 3.68
Ca: 0.0000 0.5000 0.0000  2 Tc 2.57
Hg: 0.0000 0.0000 0.5000  2 Tc 2.60
Hg: 0.5000 0.0000 0.0000  2 Tc 2.60
Tc: 0.0000 0.0000 0.0000  2 Ca 2.57, 4 Hg 2.60



Q: Which value of final energy does entry 1 give?
A: -86.3 eV/cell



Repeat the first record exactly.
VASP calculation (PBE-GGA) on an optimized crystal structure of Cr2TcPt9.

## Properties
ΔE_f (kJ per mole of atoms): -18.7
Spin magnetization (μB/atom): 0.64
Volume (Å³ per atom): 15.20
Final energy (eV/cell): -86.3

a = 3.9301 Å, b = 3.9301 Å, c = 11.8117 Å
α = 90.00°, β = 90.00°, γ = 90.00°
Last column: nearest neighbours and their distance in Å.
Atoms (fractional coordinates):
Cr: 0.0000 0.0000 0.3367  12 Pt 2.75-2.81
Cr: 0.0000 0.0000 0.6633  12 Pt 2.75-2.81
Tc: 0.0000 0.0000 0.0000  12 Pt 2.78
Pt: 0.5000 0.5000 0.0000  4 Tc 2.78, 8 Pt 2.78
Pt: 0.5000 0.5000 0.3338  8 Pt 2.78-2.79, 4 Cr 2.78
Pt: 0.5000 0.5000 0.6662  8 Pt 2.78-2.79, 4 Cr 2.78
Pt: 0.5000 0.0000 0.1664  8 Pt 2.78-2.79, 2 Tc 2.78, 2 Cr 2.81
Pt: 0.5000 0.0000 0.5000  4 Cr 2.75, 8 Pt 2.78
Pt: 0.5000 0.0000 0.8336  8 Pt 2.78-2.79, 2 Tc 2.78, 2 Cr 2.81
Pt: 0.0000 0.5000 0.1664  8 Pt 2.78-2.79, 2 Tc 2.78, 2 Cr 2.81
Pt: 0.0000 0.5000 0.5000  4 Cr 2.75, 8 Pt 2.78
Pt: 0.0000 0.5000 0.8336  8 Pt 2.78-2.79, 2 Tc 2.78, 2 Cr 2.81



Q: final energy of number 9 (Li2PrAlAu4)?
A: -30.4 eV/cell



Q: volume of number 3 (LiMgMnAs2)?
A: 17.58 Å³ per atom